# Ca2PrPd, relaxed, DFT GGA-PBE
data_Ca2PrPd
_cell_length_a 3.986
_cell_length_b 12.691
_cell_length_c 9.964
_cell_angle_alpha 90.00
_cell_angle_beta 90.00
_cell_angle_gamma 90.00
_symmetry_space_group_name_H-M 'C m c m'
_symmetry_Int_Tables_number 63
_symmetry_space_group_name_Hall '-C 2c 2'
loop_
_atom_site_label
_atom_site_fract_x
_atom_site_fract_y
_atom_site_fract_z
Ca1 0.000 0.142 0.066
Pr1 0.000 0.421 0.250
Pd1 0.000 0.245 0.750
# Total magnetic moment   0.0 Bohr magnetons per cell
# Energy relative to the elements   -0.387 eV per atom